DFT (GGA-PBE) results for a relaxed Tm2Os3W crystal.

Unit cell a=5.4707 b=5.4707 c=8.4251 alpha=90.00 beta=90.00 gamma=120.00
Closest atoms and distances in Å follow each position.
Atoms (fractional coordinates):
Os 0.6537 0.8268 0.2500  4 Os 2.63-2.84, 2 W 2.67
Os 0.8268 0.1732 0.7500  4 Os 2.63-2.84, 2 W 2.67
Os 0.8268 0.6537 0.7500  4 Os 2.63-2.84, 2 W 2.67
Os 0.1732 0.3463 0.2500  4 Os 2.63-2.84, 2 W 2.67
Os 0.1732 0.8268 0.2500  4 Os 2.63-2.84, 2 W 2.67
Os 0.3463 0.1732 0.7500  4 Os 2.63-2.84, 2 W 2.67
W 0.0000 0.0000 0.5000  6 Os 2.67
W 0.0000 0.0000 0.0000  6 Os 2.67
Tm 0.6667 0.3333 0.0646  9 Os 3.05-3.15, 4 Tm 3.12-3.34, 3 W 3.21
Tm 0.3333 0.6667 0.9354  9 Os 3.05-3.15, 4 Tm 3.12-3.34, 3 W 3.21
Tm 0.3333 0.6667 0.5646  9 Os 3.05-3.15, 4 Tm 3.12-3.34, 3 W 3.21
Tm 0.6667 0.3333 0.4354  9 Os 3.05-3.15, 4 Tm 3.12-3.34, 3 W 3.21

Properties
**Space group**: P6_3/mmc, No. 194
**DFT total energy**: -9.60 eV/atom
**ΔE_f**: -2.01 eV/f.u.
**DOS at the Fermi energy**: 6.810 states/eV/f.u.